# MgFeN2O (PBE+U, optimized geometry)
data_MgFeN2O
_space_group_name_H-M_alt 'P 1'
_space_group_IT_number 1
_cell_length_a 3.999
_cell_length_b 3.999
_cell_length_c 3.729
_cell_angle_alpha 90.00
_cell_angle_beta 90.00
_cell_angle_gamma 90.00
loop_
_space_group_symop_operation_xyz
'x,y,z'
loop_
_atom_site_label
_atom_site_fract_x
_atom_site_fract_y
_atom_site_fract_z
Mg1 0.000 0.000 0.000
N1 0.500 0.000 0.000
N2 0.000 0.500 0.000
Fe1 0.500 0.500 0.500
O1 0.000 0.000 0.500
# Space-group type: P4/mmm (123)
# Total energy in eV per atom: -4.207
# D(E_F) in states/eV/f.u.: 4.2